An optimized crystal structure of CuPt. Source: Alexandria via LeMat-Bulk, functional PBE.

Calculated values
E_form ... -10 kJ/mol of atoms
Fermi-level density of states ... 12.46 states/eV/cell

Cell lengths 3.7812, 5.4730, 8.1349 Å; angles 90.00, 90.00, 90.00 degrees
Closest atoms and distances in Å follow each position.
Space group Pmmm (No. 47)
One atom of each set of equivalent atoms:
Cu (0.0000, 0.0000, 0.0000)  8 Pt 2.70, 4 Cu 2.74-2.76
Cu (0.0000, 0.0000, 0.3392)  6 Cu 2.62-2.76, 6 Pt 2.70-2.74
Cu (0.0000, 0.5000, 0.0000)  10 Pt 2.72-2.75, 2 Cu 2.74
Cu (0.5000, 0.2413, 0.5000)  6 Cu 2.64-2.83, 6 Pt 2.70-2.71
Pt (0.0000, 0.5000, 0.3379)  5 Pt 2.64-2.72, 7 Cu 2.71-2.75
Pt (0.5000, 0.2461, 0.1685)  5 Pt 2.69-2.78, 7 Cu 2.70-2.72